P | The following is a DFT calculation (PBE) of a relaxed structure of NaV3Au.

The structure in CIF format:
```
data_NaV3Au
_cell_length_a 5.061
_cell_length_b 5.061
_cell_length_c 5.061
_cell_angle_alpha 90.00
_cell_angle_beta 90.00
_cell_angle_gamma 90.00
_symmetry_space_group_name_H-M 'P m -3 m'
_symmetry_Int_Tables_number 221
_symmetry_space_group_name_Hall '-P 4 2 3'
loop_
_atom_site_label
_atom_site_type_symbol
_atom_site_fract_x
_atom_site_fract_y
_atom_site_fract_z
Na1 Na 0.000 0.000 0.000
V1 V 0.000 0.500 0.500
Au1 Au 0.500 0.500 0.500
```

Results
- Spin magnetization: 1.8853 μB per atom
- N(E_F): 11.88 states/eV/f.u.
- Crystal system: cubic

***

Q | The following is a DFT calculation (PBE) of a relaxed structure of NaV3Au.

The structure in CIF format:
```
data_NaV3Au
_cell_length_a 4.433
_cell_length_b 4.433
_cell_length_c 4.433
_cell_angle_alpha 90.00
_cell_angle_beta 90.00
_cell_angle_gamma 90.00
_symmetry_space_group_name_H-M 'P m -3 m'
_symmetry_Int_Tables_number 221
_symmetry_space_group_name_Hall '-P 4 2 3'
loop_
_atom_site_label
_atom_site_type_symbol
_atom_site_fract_x
_atom_site_fract_y
_atom_site_fract_z
Na1 Na 0.000 0.000 0.000
V1 V 0.000 0.000 0.500
Au1 Au 0.500 0.500 0.500
```

Results
- Spin magnetization: 0.4821 μB per atom
- N(E_F): 6.10 states/eV/f.u.
- Crystal system: cubic

***

Most stable structure: P

***

P | The following is a DFT calculation (PBE) of a relaxed structure of Na2VAu.

The structure in CIF format:
```
data_Na2VAu
_cell_length_a 7.012
_cell_length_b 7.012
_cell_length_c 7.012
_cell_angle_alpha 90.00
_cell_angle_beta 90.00
_cell_angle_gamma 90.00
_symmetry_space_group_name_H-M 'F m -3 m'
_symmetry_Int_Tables_number 225
_symmetry_space_group_name_Hall '-F 4 2 3'
loop_
_atom_site_label
_atom_site_type_symbol
_atom_site_fract_x
_atom_site_fract_y
_atom_site_fract_z
Na1 Na 0.250 0.250 0.250
V1 V 0.000 0.000 0.000
Au1 Au 0.000 0.000 0.500
```

Results
- Spin magnetization: 1.0538 μB per atom
- N(E_F): 4.46 states/eV/f.u.
- Crystal system: cubic

***

Q | The following is a DFT calculation (PBE) of a relaxed structure of Na2VAu.

The structure in CIF format:
```
data_Na2VAu
_cell_length_a 8.439
_cell_length_b 8.439
_cell_length_c 5.488
_cell_angle_alpha 90.00
_cell_angle_beta 90.00
_cell_angle_gamma 90.00
_symmetry_space_group_name_H-M 'I -4 2 d'
_symmetry_Int_Tables_number 122
_symmetry_space_group_name_Hall 'I -4 2bw'
loop_
_atom_site_label
_atom_site_type_symbol
_atom_site_fract_x
_atom_site_fract_y
_atom_site_fract_z
Na1 Na 0.215 0.250 0.125
V1 V 0.000 0.000 0.500
Au1 Au 0.000 0.000 0.000
```

Results
- Spin magnetization: 0.9357 μB per atom
- N(E_F): 5.57 states/eV/f.u.
- Crystal system: tetragonal

***

Most stable structure: P

***

P | The following is a DFT calculation (PBE) of a relaxed structure of Na2VAu2.

The structure in CIF format:
```
data_Na2VAu2
_cell_length_a 5.103
_cell_length_b 5.103
_cell_length_c 8.450
_cell_angle_alpha 90.00
_cell_angle_beta 90.00
_cell_angle_gamma 90.00
_symmetry_space_group_name_H-M 'I 4/m m m'
_symmetry_Int_Tables_number 139
_symmetry_space_group_name_Hall '-I 4 2'
loop_
_atom_site_label
_atom_site_type_symbol
_atom_site_fract_x
_atom_site_fract_y
_atom_site_fract_z
Na1 Na 0.000 0.000 0.140
V1 V 0.000 0.000 0.500
Au1 Au 0.000 0.500 0.250
```

Results
- Spin magnetization: 0.7703 μB per atom
- N(E_F): 5.39 states/eV/f.u.
- Crystal system: tetragonal

***

Q | The following is a DFT calculation (PBE) of a relaxed structure of Na2VAu2.

The structure in CIF format:
```
data_Na2VAu2
_cell_length_a 8.187
_cell_length_b 8.187
_cell_length_c 2.986
_cell_angle_alpha 90.00
_cell_angle_beta 90.00
_cell_angle_gamma 90.00
_symmetry_space_group_name_H-M 'P 4/m b m'
_symmetry_Int_Tables_number 127
_symmetry_space_group_name_Hall '-P 4 2ab'
loop_
_atom_site_label
_atom_site_type_symbol
_atom_site_fract_x
_atom_site_fract_y
_atom_site_fract_z
Na1 Na 0.119 0.381 0.000
V1 V 0.000 0.000 0.000
Au1 Au 0.183 0.683 0.500
```

Results
- Spin magnetization: 0.7042 μB per atom
- N(E_F): 3.16 states/eV/f.u.
- Crystal system: tetragonal

***

Most stable structure: Q

***

P | The following is a DFT calculation (PBE) of a relaxed structure of NaWAu2.

The structure in CIF format:
```
data_NaWAu2
_cell_length_a 4.490
_cell_length_b 4.490
_cell_length_c 17.144
_cell_angle_alpha 90.00
_cell_angle_beta 90.00
_cell_angle_gamma 90.00
_symmetry_space_group_name_H-M 'I -4 2 d'
_symmetry_Int_Tables_number 122
_symmetry_space_group_name_Hall 'I -4 2bw'
loop_
_atom_site_label
_atom_site_type_symbol
_atom_site_fract_x
_atom_site_fract_y
_atom_site_fract_z
Na1 Na 0.000 0.000 0.000
W1 W 0.000 0.000 0.500
Au1 Au 0.230 0.250 0.625
```

Results
- Spin magnetization: 0.0000 μB per atom
- N(E_F): 3.42 states/eV/f.u.
- Crystal system: tetragonal

***

Q | The following is a DFT calculation (PBE) of a relaxed structure of NaWAu2.

The structure in CIF format:
```
data_NaWAu2
_cell_length_a 6.577
_cell_length_b 6.577
_cell_length_c 6.577
_cell_angle_alpha 90.00
_cell_angle_beta 90.00
_cell_angle_gamma 90.00
_symmetry_space_group_name_H-M 'F m -3 m'
_symmetry_Int_Tables_number 225
_symmetry_space_group_name_Hall '-F 4 2 3'
loop_
_atom_site_label
_atom_site_type_symbol
_atom_site_fract_x
_atom_site_fract_y
_atom_site_fract_z
Na1 Na 0.000 0.000 0.000
W1 W 0.000 0.000 0.500
Au1 Au 0.250 0.250 0.250
```

Results
- Spin magnetization: 0.1739 μB per atom
- N(E_F): 3.90 states/eV/f.u.
- Crystal system: cubic

***

Most stable structure: Q

***

P | The following is a DFT calculation (PBE) of a relaxed structure of Na3YAu.

The structure in CIF format:
```
data_Na3YAu
_cell_length_a 6.536
_cell_length_b 6.536
_cell_length_c 6.536
_cell_angle_alpha 90.00
_cell_angle_beta 90.00
_cell_angle_gamma 90.00
_symmetry_space_group_name_H-M 'P m -3 m'
_symmetry_Int_Tables_number 221
_symmetry_space_group_name_Hall '-P 4 2 3'
loop_
_atom_site_label
_atom_site_type_symbol
_atom_site_fract_x
_atom_site_fract_y
_atom_site_fract_z
Na1 Na 0.000 0.000 0.500
Y1 Y 0.000 0.000 0.000
Au1 Au 0.500 0.500 0.500
```

Results
- Spin magnetization: 0.4415 μB per atom
- N(E_F): 7.88 states/eV/f.u.
- Crystal system: cubic

***

Q | The following is a DFT calculation (PBE) of a relaxed structure of Na3YAu.

The structure in CIF format:
```
data_Na3YAu
_cell_length_a 5.509
_cell_length_b 5.509
_cell_length_c 5.509
_cell_angle_alpha 90.00
_cell_angle_beta 90.00
_cell_angle_gamma 90.00
_symmetry_space_group_name_H-M 'P m -3 m'
_symmetry_Int_Tables_number 221
_symmetry_space_group_name_Hall '-P 4 2 3'
loop_
_atom_site_label
_atom_site_type_symbol
_atom_site_fract_x
_atom_site_fract_y
_atom_site_fract_z
Na1 Na 0.000 0.000 0.500
Y1 Y 0.500 0.500 0.500
Au1 Au 0.000 0.000 0.000
```

Results
- Spin magnetization: 0.2033 μB per atom
- N(E_F): 3.30 states/eV/f.u.
- Crystal system: cubic

***

Most stable structure: Q

***

P | The following is a DFT calculation (PBE) of a relaxed structure of NaY2Au4.

The structure in CIF format:
```
data_NaY2Au4
_cell_length_a 4.910
_cell_length_b 4.910
_cell_length_c 14.899
_cell_angle_alpha 90.00
_cell_angle_beta 90.00
_cell_angle_gamma 90.00
_symmetry_space_group_name_H-M 'I 4/m m m'
_symmetry_Int_Tables_number 139
_symmetry_space_group_name_Hall '-I 4 2'
loop_
_atom_site_label
_atom_site_type_symbol
_atom_site_fract_x
_atom_site_fract_y
_atom_site_fract_z
Na1 Na 0.000 0.000 0.000
Y1 Y 0.000 0.000 0.370
Au1 Au 0.000 0.000 0.181
Au2 Au 0.000 0.500 0.000
```

Results
- Spin magnetization: 0.0000 μB per atom
- N(E_F): 5.24 states/eV/f.u.
- Crystal system: tetragonal

***

Q | The following is a DFT calculation (PBE) of a relaxed structure of NaY2Au4.

The structure in CIF format:
```
data_NaY2Au4
_cell_length_a 9.168
_cell_length_b 4.639
_cell_length_c 8.182
_cell_angle_alpha 90.00
_cell_angle_beta 108.26
_cell_angle_gamma 90.00
_symmetry_space_group_name_H-M 'C 1 2/m 1'
_symmetry_Int_Tables_number 12
loop_
_symmetry_equiv_pos_as_xyz
'x,y,z'
'-x,-y,-z'
'-x,y,-z'
'x,-y,z'
'x+1/2,y+1/2,z'
'-x+1/2,-y+1/2,-z'
'-x+1/2,y+1/2,-z'
'x+1/2,-y+1/2,z'
loop_
_atom_site_label
_atom_site_type_symbol
_atom_site_fract_x
_atom_site_fract_y
_atom_site_fract_z
Na1 Na 0.000 0.000 0.000
Y1 Y 0.224 0.500 0.275
Au1 Au 0.068 0.000 0.365
Au2 Au 0.136 0.500 0.868
```

Results
- Spin magnetization: 0.0000 μB per atom
- N(E_F): 4.94 states/eV/f.u.
- Crystal system: monoclinic

***

Most stable structure: Q